<w>
First-principles (PBE) data for a relaxed structure of CuAg2Cl6, as listed in Alexandria.

space-group type = P2_1/c (14)
magnetization = 0.81 μB/f.u.
crystal system = monoclinic

```
CuAg2Cl6
1.0
6.383 0.000 1.140
0.000 6.719 0.000
0.921 0.000 11.669
Cl Cu Ag
12 2 4
Direct
0.841 0.954 0.244
0.341 0.546 0.744
0.693 0.168 0.573
0.807 0.668 0.927
0.664 0.213 0.929
0.836 0.713 0.571
0.193 0.332 0.073
0.164 0.287 0.429
0.336 0.787 0.071
0.159 0.046 0.756
0.659 0.454 0.256
0.307 0.832 0.427
0.500 0.500 0.000
0.000 0.000 0.500
0.988 0.635 0.164
0.512 0.135 0.336
0.012 0.365 0.836
0.488 0.865 0.664
```

=====

<x>
First-principles (PBE) data for a relaxed structure of CuAg2Cl6, as listed in Alexandria.

space-group type = C2/c (15)
magnetization = 0.00 μB/f.u.
crystal system = monoclinic

```
CuAg2Cl6
1.0
6.546 0.142 -1.681
-3.941 8.272 -2.515
-0.678 -0.274 9.473
Cl Ag Cu
12 4 2
Direct
0.907 0.134 0.635
0.608 0.698 0.549
0.892 0.451 0.302
0.108 0.549 0.698
0.167 0.218 0.035
0.093 0.866 0.365
0.392 0.302 0.451
0.667 0.035 0.218
0.593 0.365 0.866
0.407 0.635 0.134
0.833 0.782 0.965
0.333 0.965 0.782
0.392 0.461 0.282
0.892 0.282 0.461
0.608 0.539 0.718
0.108 0.718 0.539
0.250 0.180 0.820
0.750 0.820 0.180
```

=====

Verdict on stability: <x> comes out at the bottom.

=====

<w>
First-principles (PBE) data for a relaxed structure of CuAgCl3, as listed in Alexandria.

space-group type = P-31m (162)
magnetization = 0.00 μB/f.u.
crystal system = trigonal

```
CuAgCl3
1.0
-2.678 3.689 -4.815
-2.956 -5.623 1.901
-3.545 3.414 4.587
Ag Cl Cu
2 6 2
Direct
0.667 0.333 0.500
0.333 0.667 0.500
0.669 0.000 0.728
0.000 0.669 0.728
0.331 0.000 0.272
0.331 0.331 0.728
0.000 0.331 0.272
0.669 0.669 0.272
0.000 0.000 0.719
0.000 0.000 0.281
```

=====

<x>
First-principles (PBE) data for a relaxed structure of CuAgCl3, as listed in Alexandria.

space-group type = Pm-3m (221)
magnetization = 0.00 μB/f.u.
crystal system = cubic

```
CuAgCl3
1.0
4.751 0.000 0.000
0.000 4.751 0.000
0.000 0.000 4.751
Cu Cl Ag
1 3 1
Direct
0.000 0.000 0.000
0.000 0.000 0.500
0.500 0.000 0.000
0.000 0.500 0.000
0.500 0.500 0.500
```

=====

Verdict on stability: <x> comes out at the bottom.

=====

<w>
First-principles (PBE) data for a relaxed structure of CuAgCl3, as listed in Alexandria.

space-group type = C2/c (15)
magnetization = 0.60 μB/f.u.
crystal system = monoclinic

```
CuAgCl3
1.0
6.490 0.125 1.075
1.272 8.512 0.490
0.090 -0.065 8.619
Cu Cl Ag
4 12 4
Direct
0.800 0.224 0.394
0.200 0.776 0.606
0.300 0.394 0.224
0.700 0.606 0.776
0.614 0.140 0.618
0.114 0.618 0.140
0.890 0.715 0.564
0.374 0.210 0.029
0.610 0.436 0.285
0.110 0.285 0.436
0.626 0.790 0.971
0.390 0.564 0.715
0.886 0.382 0.860
0.126 0.971 0.790
0.874 0.029 0.210
0.386 0.860 0.382
0.250 0.279 0.721
0.750 0.721 0.279
0.250 0.908 0.092
0.750 0.092 0.908
```

=====

<x>
First-principles (PBE) data for a relaxed structure of CuAgCl3, as listed in Alexandria.

space-group type = Pm-3m (221)
magnetization = 0.00 μB/f.u.
crystal system = cubic

```
CuAgCl3
1.0
-1.321 -4.292 2.232
0.582 -2.438 -4.344
4.803 -0.885 1.140
Cu Cl Ag
1 3 1
Direct
0.500 0.500 0.500
0.500 0.000 0.000
0.000 0.000 0.500
0.000 0.500 0.000
0.000 0.000 0.000
```

=====

Verdict on stability: <x> comes out at the bottom.

=====

<w>
First-principles (PBE) data for a relaxed structure of CuAg2Cl2, as listed in Alexandria.

space-group type = P4/mbm (127)
magnetization = 0.00 μB/f.u.
crystal system = tetragonal

```
CuAg2Cl2
1.0
-2.143 -3.837 -4.832
-3.546 -3.421 4.288
-3.766 3.006 -0.717
Ag Cl Cu
4 4 2
Direct
0.166 0.666 0.500
0.834 0.334 0.500
0.334 0.166 0.500
0.666 0.834 0.500
0.313 0.813 0.000
0.687 0.187 0.000
0.813 0.687 0.000
0.187 0.313 0.000
0.500 0.500 0.000
0.000 0.000 0.000
```

=====

<x>
First-principles (PBE) data for a relaxed structure of CuAg2Cl2, as listed in Alexandria.

space-group type = I4/mmm (139)
magnetization = 0.00 μB/f.u.
crystal system = tetragonal

```
CuAg2Cl2
1.0
-0.906 1.125 -3.944
0.645 -3.949 -1.275
-6.480 -2.794 -1.544
Cl Cu Ag
2 1 2
Direct
0.380 0.380 0.240
0.620 0.620 0.760
0.000 0.000 0.000
0.750 0.250 0.500
0.250 0.750 0.500
```

=====

Verdict on stability: <x> comes out at the bottom.

=====

<w>
First-principles (PBE) data for a relaxed structure of Cu2AgCl6, as listed in Alexandria.

magnetization = 0.00 μB/f.u.

```
Cu2AgCl6
1.0
5.624 0.579 2.910
2.840 8.628 3.451
1.500 -0.952 10.440
Cl Cu Ag
12 4 2
Direct
0.127 0.824 0.897
0.363 0.305 0.915
0.893 0.540 0.768
0.393 0.040 0.269
0.138 0.195 0.585
0.607 0.960 0.731
0.873 0.176 0.103
0.373 0.677 0.603
0.627 0.323 0.397
0.862 0.805 0.415
0.637 0.695 0.085
0.107 0.460 0.232
0.015 0.312 0.159
0.515 0.812 0.659
0.985 0.688 0.841
0.485 0.188 0.341
0.750 0.750 0.250
0.250 0.250 0.750
```

=====

<x>
First-principles (PBE) data for a relaxed structure of Cu2AgCl6, as listed in Alexandria.

space-group type = C2/c (15)
magnetization = 1.15 μB/f.u.
crystal system = monoclinic

```
Cu2AgCl6
1.0
-2.476 -2.631 6.407
3.482 -7.349 -0.991
7.153 1.016 3.862
Cl Cu Ag
12 4 2
Direct
0.628 0.607 0.171
0.073 0.428 0.240
0.573 0.240 0.428
0.427 0.760 0.572
0.348 0.063 0.169
0.848 0.169 0.063
0.372 0.393 0.829
0.872 0.829 0.393
0.652 0.937 0.831
0.927 0.572 0.760
0.152 0.831 0.937
0.128 0.171 0.607
0.717 0.766 0.644
0.283 0.234 0.356
0.783 0.356 0.234
0.217 0.644 0.766
0.250 0.116 0.884
0.750 0.884 0.116
```

=====

Verdict on stability: <x> comes out at the bottom.

=====

<w>
First-principles (PBE) data for a relaxed structure of CuAgP2Cl, as listed in Alexandria.

space-group type = P4/mmm (123)
magnetization = 0.56 μB/f.u.
crystal system = tetragonal

```
CuAgP2Cl
1.0
-2.835 1.614 2.759
0.380 -3.491 2.433
4.814 2.821 3.296
Ag P Cl Cu
1 2 1 1
Direct
0.500 0.500 0.500
0.500 0.000 0.000
0.000 0.500 0.000
0.000 0.000 0.500
0.000 0.000 0.000
```

=====

<x>
First-principles (PBE) data for a relaxed structure of CuAgP2Cl, as listed in Alexandria.

space-group type = P4/mmm (123)
magnetization = 1.85 μB/f.u.
crystal system = tetragonal

```
CuAgP2Cl
1.0
-0.034 -3.496 3.290
-1.858 -3.024 -3.232
4.783 -1.401 -1.439
Cl P Ag Cu
1 2 1 1
Direct
0.000 0.000 0.500
0.000 0.500 0.000
0.500 0.000 0.000
0.000 0.000 0.000
0.500 0.500 0.500
```

=====

Verdict on stability: <x> comes out at the bottom.